Record 1
# Ho3Pd2 | the Alexandria database | PBE | relaxed
# * Fermi-level density of states: 0.815 states/eV per atom
# * energy of formation from the pure elements: -3.73 eV per formula unit
data_Ho3Pd2
_cell_length_a 7.760
_cell_length_b 7.760
_cell_length_c 3.942
_cell_angle_alpha 90.00
_cell_angle_beta 90.00
_cell_angle_gamma 90.00
_symmetry_space_group_name_H-M 'P 4/m b m'
_symmetry_Int_Tables_number 127
_symmetry_space_group_name_Hall '-P 4 2ab'
loop_
_atom_site_label
_atom_site_type_symbol
_atom_site_fract_x
_atom_site_fract_y
_atom_site_fract_z
Ho1 Ho 0.000 0.000 0.000
Ho2 Ho 0.164 0.336 0.500
Pd1 Pd 0.133 0.633 0.000

=====

Record 2
# LiTcPRh | the Alexandria database | PBE | relaxed
# * Fermi-level density of states: 0.608 states/eV per atom
# * energy of formation from the pure elements: -1.70 eV per formula unit
data_LiTcPRh
_cell_length_a 5.775
_cell_length_b 5.775
_cell_length_c 5.775
_cell_angle_alpha 90.00
_cell_angle_beta 90.00
_cell_angle_gamma 90.00
_symmetry_space_group_name_H-M 'F -4 3 m'
_symmetry_Int_Tables_number 216
_symmetry_space_group_name_Hall 'F -4 2 3'
loop_
_atom_site_label
_atom_site_type_symbol
_atom_site_fract_x
_atom_site_fract_y
_atom_site_fract_z
Li1 Li 0.000 0.000 0.000
Tc1 Tc 0.250 0.250 0.750
P1 P 0.000 0.000 0.500
Rh1 Rh 0.250 0.250 0.250

=====

Record 3
# Ac6PmTl2 | the Alexandria database | PBE | relaxed
# * Fermi-level density of states: 1.268 states/eV per atom
# * energy of formation from the pure elements: -1.24 eV per formula unit
data_Ac6PmTl2
_cell_length_a 14.093
_cell_length_b 4.061
_cell_length_c 13.044
_cell_angle_alpha 90.00
_cell_angle_beta 107.64
_cell_angle_gamma 90.00
_symmetry_space_group_name_H-M 'C 1 2/m 1'
_symmetry_Int_Tables_number 12
_symmetry_space_group_name_Hall '-C 2y'
loop_
_atom_site_label
_atom_site_type_symbol
_atom_site_fract_x
_atom_site_fract_y
_atom_site_fract_z
Ac1 Ac 0.027 0.000 0.336
Ac2 Ac 0.178 0.500 0.878
Ac3 Ac 0.191 0.500 0.596
Pm1 Pm 0.000 0.000 0.000
Tl1 Tl 0.140 0.500 0.183

=====

Record 4
# BaY2Te4 | the Alexandria database | PBE | relaxed
# * raw formation energy: -1.53 eV per atom
data_BaY2Te4
_cell_length_a 4.507
_cell_length_b 14.642
_cell_length_c 15.372
_cell_angle_alpha 90.00
_cell_angle_beta 90.00
_cell_angle_gamma 90.00
_symmetry_space_group_name_H-M 'C m c m'
_symmetry_Int_Tables_number 63
_symmetry_space_group_name_Hall '-C 2c 2'
loop_
_atom_site_label
_atom_site_type_symbol
_atom_site_fract_x
_atom_site_fract_y
_atom_site_fract_z
Ba1 Ba 0.000 0.111 0.250
Y1 Y 0.000 0.365 0.066
Te1 Te 0.000 0.000 0.000
Te2 Te 0.000 0.269 0.613
Te3 Te 0.000 0.434 0.250

=====

The size of the total moment results, record by record, are as follows: 0.0000 0.0000 0.0000 0.0000 μB per atom.